The following is a DFT calculation (PBE) of a relaxed structure of Ca2HfRh2.

## Properties
Its energy relative to the elements is -0.41 eV/atom. Its relative energy among the computed polymorphs is 0.0000 eV/atom. The calculation puts the total magnetization at 0.0 Bohr magnetons per cell.

Cell: 6.897 6.897 4.681 Å, 90.00 90.00 90.00°
Fractional positions:
1 Ca 0.172 0.328 0.000
2 Ca 0.328 0.828 0.000
3 Ca 0.672 0.172 0.000
4 Ca 0.828 0.672 0.000
5 Hf 0.000 0.000 0.500
6 Hf 0.500 0.500 0.500
7 Rh 0.135 0.635 0.500
8 Rh 0.365 0.135 0.500
9 Rh 0.635 0.865 0.500
10 Rh 0.865 0.365 0.500